VASP calculation (PBE) on a relaxed HfMgVIr crystal.

The formation energy is -0.301 eV/atom.

The structure belongs to space group F-43m (No. 216); the cell edges are 6.464, 6.464 and 6.464 Å and the angles 90.00°, 90.00° and 90.00°. The inequivalent atoms are Hf at (0.000, 0.000, 0.000), Mg at (0.000, 0.000, 0.500), V at (0.250, 0.250, 0.250) and Ir at (0.250, 0.250, 0.750).

***

VASP calculation (PBE) on a relaxed YHf2MgIr crystal.

The formation energy is 0.855 eV/atom.

The structure belongs to space group P4/mmm (No. 123); the cell edges are 5.045, 5.045 and 4.623 Å and the angles 90.00°, 90.00° and 90.00°. The inequivalent atoms are Y at (0.000, 0.000, 0.000), Hf at (0.000, 0.500, 0.500), Mg at (0.500, 0.500, 0.500) and Ir at (0.500, 0.500, 0.000).

***

VASP calculation (PBE) on a relaxed HfMn2Ir crystal.

The value obtained for the polymorph energy (0 for the lowest one) is 0.000 eV per atom. The formation energy is -0.158 eV/atom.

The structure belongs to space group Fm-3m (No. 225); the cell edges are 6.195, 6.195 and 6.195 Å and the angles 90.00°, 90.00° and 90.00°. The inequivalent atoms are Hf at (0.000, 0.000, 0.000), Mn at (0.250, 0.250, 0.250) and Ir at (0.000, 0.000, 0.500).

***

VASP calculation (PBE) on a relaxed Hf2Mn4Ir crystal.

The formation energy is 0.779 eV/atom.

The structure belongs to space group I4/mmm (No. 139); the cell edges are 4.479, 4.479 and 13.880 Å and the angles 90.00°, 90.00° and 90.00°. The inequivalent atoms are Hf at (0.000, 0.000, 0.107), Mn at (0.000, 0.000, 0.314), Mn at (0.000, 0.500, 0.000) and Ir at (0.000, 0.000, 0.500).

***

VASP calculation (PBE) on a relaxed HfMn4Ir crystal.

The formation energy is -0.174 eV/atom.

The structure belongs to space group F-43m (No. 216); the cell edges are 6.764, 6.764 and 6.764 Å and the angles 90.00°, 90.00° and 90.00°. The inequivalent atoms are Hf at (0.000, 0.000, 0.000), Mn at (0.125, 0.125, 0.375) and Ir at (0.250, 0.250, 0.750).

***

VASP calculation (PBE) on a relaxed HfMn3Ir crystal.

The value obtained for the polymorph energy (0 for the lowest one) is 1.129 eV per atom. The formation energy is 2.075 eV/atom.

The structure belongs to space group Pm-3m (No. 221); the cell edges are 4.352, 4.352 and 4.352 Å and the angles 90.00°, 90.00° and 90.00°. The inequivalent atoms are Hf at (0.000, 0.000, 0.000), Mn at (0.000, 0.000, 0.500) and Ir at (0.500, 0.500, 0.500).

***

VASP calculation (PBE) on a relaxed HfMn2Ir crystal.

The value obtained for the polymorph energy (0 for the lowest one) is 0.353 eV per atom. The formation energy is 0.195 eV/atom.

The structure belongs to space group I-42d (No. 122); the cell edges are 7.116, 7.116 and 5.322 Å and the angles 90.00°, 90.00° and 90.00°. The inequivalent atoms are Hf at (0.000, 0.000, 0.000), Mn at (0.217, 0.250, 0.625) and Ir at (0.000, 0.000, 0.500).

***

VASP calculation (PBE) on a relaxed Hf3MnIr2 crystal.

The formation energy is -0.726 eV/atom.

The structure belongs to space group P4/mmm (No. 123); the cell edges are 3.276, 3.276 and 9.511 Å and the angles 90.00°, 90.00° and 90.00°. The inequivalent atoms are Hf at (0.000, 0.000, 0.000), Hf at (0.000, 0.000, 0.341), Mn at (0.500, 0.500, 0.500) and Ir at (0.500, 0.500, 0.166).

***

VASP calculation (PBE) on a relaxed Hf8MnIr2 crystal.

The formation energy is -0.360 eV/atom.

The structure belongs to space group C2/m (No. 12); the cell edges are 15.539, 4.615 and 6.318 Å and the angles 90.00°, 105.10° and 90.00°. The inequivalent atoms are Hf at (0.019, 0.000, 0.263), Hf at (0.090, 0.500, 0.951), Hf at (0.162, 0.500, 0.457), Hf at (0.196, 0.000, 0.801), Mn at (0.000, 0.500, 0.500) and Ir at (0.190, 0.000, 0.212).

***

VASP calculation (PBE) on a relaxed Hf4Mn3Ir crystal.

The formation energy is -0.381 eV/atom.

The structure belongs to space group Pmmm (No. 47); the cell edges are 3.203, 4.531 and 8.964 Å and the angles 90.00°, 90.00° and 90.00°. The inequivalent atoms are Hf at (0.000, 0.000, 0.000), Hf at (0.000, 0.000, 0.500), Hf at (0.000, 0.500, 0.241), Mn at (0.500, 0.000, 0.249), Mn at (0.500, 0.500, 0.000) and Ir at (0.500, 0.500, 0.500).

***

VASP calculation (PBE) on a relaxed HfMnIr3 crystal.

The value obtained for the polymorph energy (0 for the lowest one) is 0.000 eV per atom. The formation energy is 0.683 eV/atom.

The structure belongs to space group Pm-3m (No. 221); the cell edges are 4.462, 4.462 and 4.462 Å and the angles 90.00°, 90.00° and 90.00°. The inequivalent atoms are Hf at (0.000, 0.000, 0.000), Mn at (0.500, 0.500, 0.500) and Ir at (0.000, 0.500, 0.500).

***

VASP calculation (PBE) on a relaxed Hf6MnIr5 crystal.

The formation energy is -0.810 eV/atom.

The structure belongs to space group Immm (No. 71); the cell edges are 4.617, 6.466 and 13.987 Å and the angles 90.00°, 90.00° and 90.00°. The inequivalent atoms are Hf at (0.000, 0.249, 0.000), Hf at (0.000, 0.249, 0.336), Mn at (0.000, 0.500, 0.500), Ir at (0.000, 0.000, 0.160), Ir at (0.000, 0.000, 0.500) and Ir at (0.000, 0.500, 0.178).

***

VASP calculation (PBE) on a relaxed HfMn3Ir crystal.

The value obtained for the polymorph energy (0 for the lowest one) is 0.000 eV per atom. The formation energy is 0.946 eV/atom.

The structure belongs to space group Pm-3m (No. 221); the cell edges are 4.676, 4.676 and 4.676 Å and the angles 90.00°, 90.00° and 90.00°. The inequivalent atoms are Hf at (0.000, 0.000, 0.000), Mn at (0.000, 0.500, 0.500) and Ir at (0.500, 0.500, 0.500).

***

VASP calculation (PBE) on a relaxed HfMnMo2Ir crystal.

The formation energy is 2.146 eV/atom.

The structure belongs to space group P4/mmm (No. 123); the cell edges are 4.701, 4.701 and 4.325 Å and the angles 90.00°, 90.00° and 90.00°. The inequivalent atoms are Hf at (0.000, 0.000, 0.000), Mn at (0.000, 0.000, 0.500), Mo at (0.000, 0.500, 0.000) and Ir at (0.500, 0.500, 0.500).

***

VASP calculation (PBE) on a relaxed Hf2MnIrN crystal.

For the total energy, the calculation gives -50.970 eV for the cell shown.

The structure belongs to space group P4/mmm (No. 123); the cell edges are 4.452, 4.452 and 3.653 Å and the angles 90.00°, 90.00° and 90.00°. The inequivalent atoms are Hf at (0.000, 0.500, 0.000), Mn at (0.000, 0.000, 0.500), Ir at (0.500, 0.500, 0.500) and N at (0.000, 0.000, 0.000).

***

VASP calculation (PBE) on a relaxed HfMnNiIr2 crystal.

The formation energy is 1.753 eV/atom.

The structure belongs to space group P4/mmm (No. 123); the cell edges are 4.787, 4.787 and 4.453 Å and the angles 90.00°, 90.00° and 90.00°. The inequivalent atoms are Hf at (0.000, 0.000, 0.000), Mn at (0.500, 0.500, 0.500), Ni at (0.000, 0.000, 0.500) and Ir at (0.000, 0.500, 0.000).